First-principles (PBE) data for crystalline SnAsW3 at its relaxed geometry, as listed in Alexandria.

Computed properties:
Volume: 19.954 Å³/atom
Polymorph energy (0 for the lowest one): 0.000 eV/atom
DOS at the Fermi energy: 4.6 states/eV per cell
Formation enthalpy at 0 K: 1.46 eV/atom
M_tot: 0.00 Bohr magnetons per cell

a b c (Å): 4.638 4.638 4.638
angles (deg): 90.00 90.00 90.00
Space group Pm-3m (No. 221)
Unique sites:
Sn: 0.000 0.000 0.000 x1
As: 0.500 0.500 0.500 x1
W: 0.000 0.500 0.500 x3